(1)
A plane-wave DFT calculation with SCAN was carried out for AlCo2Re at its PBEsol-relaxed geometry.

Volume, Å³ per cell: 48
Magnetization, μB/atom: 0.46

Cell: 2.6371 3.5816 5.1276 Å, 90.00 90.00 90.00°
Last column: magnetic moment on the atom in μB.
Positions (direct):
Re 0.0000 0.0000 0.4704  0.05
Al 0.5000 0.5000 0.7807  -0.02
Co 0.0000 0.0000 0.9889  1.32
Co 0.5000 0.5000 0.2599  0.52

=====

(2)
A plane-wave DFT calculation with SCAN was carried out for AlCo2Re at its PBEsol-relaxed geometry.

Volume, Å³ per cell: 49
Magnetization, μB/atom: 0.58

Cell: 2.6552 2.6552 8.1327 Å, 80.60 80.60 60.00°
Last column: magnetic moment on the atom in μB.
Positions (direct):
Co 0.8356 0.8356 0.4932  1.33
Co 0.9976 0.9976 0.0071  1.07
Al 0.2503 0.2503 0.2492  -0.02
Re 0.4165 0.4165 0.7505  0.04

=====

(3)
A plane-wave DFT calculation with SCAN was carried out for Al2ZnCoRe at its PBEsol-relaxed geometry.

Volume, Å³ per cell: 78
Magnetization, μB/atom: 0.25

Cell: 4.1100 4.3531 4.3531 Å, 90.00 90.00 90.00°
Last column: magnetic moment on the atom in μB.
Positions (direct):
Co 0.5000 0.0000 0.0000  -0.15
Zn 0.0000 0.0000 0.0000  0.00
Al 0.0000 0.5000 0.0000  -0.01
Al 0.0000 0.0000 0.5000  -0.01
Re 0.5000 0.5000 0.5000  1.12

=====

(4)
A plane-wave DFT calculation with SCAN was carried out for Al2CoRh at its PBEsol-relaxed geometry.

Volume, Å³ per cell: 111
Magnetization, μB/atom: 0.00

Cell: 5.2650 5.2650 5.2650 Å, 105.53 105.53 117.68°
Positions (direct):
Al 0.6250 0.1396 0.0146
Al 0.1250 0.6104 0.9854
Al 0.8604 0.8750 0.4854
Al 0.3896 0.3750 0.5146
Rh 0.2500 0.7500 0.5000
Rh 0.0000 0.0000 0.0000
Co 0.5000 0.5000 0.0000
Co 0.7500 0.2500 0.5000

=====

(5)
A plane-wave DFT calculation with SCAN was carried out for AlCoRh2 at its PBEsol-relaxed geometry.

Volume, Å³ per cell: 51
Magnetization, μB/atom: 0.76

Cell: 2.8805 2.8805 6.1348 Å, 90.00 90.00 90.00°
Last column: magnetic moment on the atom in μB.
Positions (direct):
Co 0.5000 0.5000 0.5000  2.24
Rh 0.0000 0.0000 0.2456  0.45
Rh 0.0000 0.0000 0.7544  0.45
Al 0.5000 0.5000 0.0000  -0.01

=====

(6)
A plane-wave DFT calculation with SCAN was carried out for AlCoRh3 at its PBEsol-relaxed geometry.

Volume, Å³ per cell: 83
Magnetization, μB/atom: 0.80

Cell: 4.3558 4.3558 4.3558 Å, 90.00 90.00 90.00°
Last column: magnetic moment on the atom in μB.
Positions (direct):
Co 0.0000 0.0000 0.0000  1.93
Al 0.5000 0.5000 0.5000  0.02
Rh 0.0000 0.0000 0.5000  0.69
Rh 0.5000 0.0000 0.0000  0.69
Rh 0.0000 0.5000 0.0000  0.69

=====

no.,N(E_F) (states/eV/f.u.),raw total energy (eV/atom)
1,3.03,-28.37
2,2.65,-28.40
3,2.52,-22.28
4,3.31,-16.77
5,2.14,-23.78
6,4.17,-24.49